(1)
Material: NaLi2NdBi2
Method: DFT, GGA-PBE
State: optimized geometry

POSCAR file:
```
NaLi2NdBi2
1.0
4.811 0.000 0.000
-2.405 4.166 0.000
0.000 0.000 7.658
Na Li Nd Bi
1 2 1 2
direct
0.000 0.000 0.000
0.333 0.667 0.166
0.667 0.333 0.834
0.000 0.000 0.500
0.333 0.667 0.744
0.667 0.333 0.256
```

Properties
Size of the total moment in μB per cell: 0.00
Final energy in eV/atom: -3.60

***

(2)
Material: Na3LiBi3O8
Method: DFT, GGA-PBE
State: optimized geometry

POSCAR file:
```
Na3LiBi3O8
1.0
5.868 -3.396 0.000
5.868 3.396 0.000
-3.815 0.000 5.636
Na Li Bi O
3 1 3 8
direct
0.000 0.000 0.000
0.000 0.500 0.000
0.500 0.000 0.000
0.000 0.000 0.500
0.000 0.500 0.500
0.500 0.000 0.500
0.500 0.500 0.500
0.208 0.737 0.697
0.245 0.245 0.709
0.250 0.250 0.267
0.263 0.792 0.303
0.737 0.208 0.697
0.750 0.750 0.733
0.755 0.755 0.291
0.792 0.263 0.303
```

Properties
Size of the total moment in μB per cell: 0.00
Formation energy without anion corrections in eV/atom: -1.2205

***

(3)
Material: NaLi2Bi3O6
Method: DFT, GGA-PBE
State: optimized geometry

POSCAR file:
```
NaLi2Bi3O6
1.0
7.466 -1.745 0.000
7.466 1.745 0.000
-1.053 0.000 6.886
Na Li Bi O
1 2 3 6
direct
0.000 0.000 0.000
0.351 0.351 0.727
0.649 0.649 0.273
0.000 0.000 0.500
0.328 0.328 0.176
0.672 0.672 0.824
0.166 0.166 0.615
0.180 0.180 0.121
0.485 0.485 0.731
0.515 0.515 0.269
0.820 0.820 0.879
0.834 0.834 0.385
```

Properties
Size of the total moment in μB per cell: 0.00
Formation energy without anion corrections in eV/atom: -1.3304

***

(4)
Material: Na2LiBiO4
Method: DFT, GGA-PBE
State: optimized geometry

POSCAR file:
```
Na2LiBiO4
1.0
-3.078 3.078 2.818
3.078 -3.078 2.818
3.078 3.078 -2.818
Na Li Bi O
2 1 1 4
direct
0.000 0.500 0.500
0.500 0.000 0.500
0.000 0.000 0.000
0.500 0.500 0.000
0.082 0.435 0.000
0.435 0.082 0.000
0.565 0.565 0.647
0.918 0.918 0.353
```

Properties
Size of the total moment in μB per cell: 0.00
Formation energy without anion corrections in eV/atom: -1.1988

***

(5)
Material: NaLiBiO3
Method: DFT, GGA-PBE
State: optimized geometry

POSCAR file:
```
NaLiBiO3
1.0
5.944 0.000 0.000
0.000 3.505 0.000
-1.121 0.000 8.154
Na Li Bi O
2 2 2 6
direct
0.120 0.250 0.190
0.880 0.750 0.810
0.166 0.750 0.538
0.834 0.250 0.462
0.373 0.250 0.818
0.627 0.750 0.182
0.058 0.250 0.658
0.271 0.750 0.985
0.493 0.750 0.689
0.507 0.250 0.311
0.729 0.250 0.015
0.942 0.750 0.342
```

Properties
Size of the total moment in μB per cell: 0.00
Formation energy without anion corrections in eV/atom: -1.3595

***

(6)
Material: NaLiBiPd
Method: DFT, GGA-PBE
State: optimized geometry

POSCAR file:
```
NaLiBiPd
1.0
2.303 1.330 5.165
-2.303 1.330 5.165
0.000 -2.660 5.165
Na Li Bi Pd
1 1 1 1
direct
0.000 0.000 0.000
0.212 0.212 0.212
0.791 0.791 0.791
0.505 0.505 0.505
```

Properties
Polymorph energy (0 for the lowest one) in meV/atom: 47
Size of the total moment in μB per cell: 0.00

***

(7)
Material: NaLiBiPd
Method: DFT, GGA-PBE
State: optimized geometry

POSCAR file:
```
NaLiBiPd
1.0
0.000 3.414 3.414
3.414 0.000 3.414
3.414 3.414 0.000
Na Li Bi Pd
1 1 1 1
direct
0.000 0.000 0.000
0.250 0.250 0.250
0.500 0.500 0.500
0.750 0.750 0.750
```

Properties
Polymorph energy (0 for the lowest one) in meV/atom: 0
Size of the total moment in μB per cell: 0.00

***

(8)
Material: NaLi2PmBi2
Method: DFT, GGA-PBE
State: optimized geometry

POSCAR file:
```
NaLi2PmBi2
1.0
4.799 0.000 0.000
-2.400 4.156 0.000
0.000 0.000 7.627
Na Li Pm Bi
1 2 1 2
direct
0.000 0.000 0.000
0.333 0.667 0.167
0.667 0.333 0.833
0.000 0.000 0.500
0.333 0.667 0.743
0.667 0.333 0.257
```

Properties
Size of the total moment in μB per cell: 0.00
Final energy in eV/atom: -3.59

***

(9)
Material: NaLiPmBi
Method: DFT, GGA-PBE
State: optimized geometry

POSCAR file:
```
NaLiPmBi
1.0
0.000 3.813 3.813
3.813 0.000 3.813
3.813 3.813 0.000
Na Li Pm Bi
1 1 1 1
direct
0.000 0.000 0.000
0.250 0.250 0.250
0.500 0.500 0.500
0.750 0.750 0.750
```

Properties
Size of the total moment in μB per cell: 0.00
Final energy in eV/atom: -3.24

***

(10)
Material: NaLi2PrBi2
Method: DFT, GGA-PBE
State: optimized geometry

POSCAR file:
```
NaLi2PrBi2
1.0
4.825 0.000 0.000
-2.412 4.178 0.000
0.000 0.000 7.691
Na Li Pr Bi
1 2 1 2
direct
0.000 0.000 0.000
0.333 0.667 0.165
0.667 0.333 0.835
0.000 0.000 0.500
0.333 0.667 0.746
0.667 0.333 0.254
```

Properties
Size of the total moment in μB per cell: 0.00
Final energy in eV/atom: -3.60

***

(11)
Material: NaLiPu2Bi4
Method: DFT, GGA-PBE
State: optimized geometry

POSCAR file:
```
NaLiPu2Bi4
1.0
2.744 1.584 8.849
-2.744 1.584 8.849
0.000 -3.169 8.849
Na Li Pu Bi
1 1 2 4
direct
0.000 0.000 0.000
0.500 0.500 0.500
0.260 0.260 0.260
0.740 0.740 0.740
0.137 0.137 0.137
0.384 0.384 0.384
0.616 0.616 0.616
0.863 0.863 0.863
```

Properties
Size of the total moment in μB per cell: 11.07
Final energy in eV/atom: -6.20

***

(12)
Material: NaLi2PuBi2
Method: DFT, GGA-PBE
State: optimized geometry

POSCAR file:
```
NaLi2PuBi2
1.0
4.819 0.000 0.000
-2.409 4.173 0.000
0.000 0.000 7.521
Na Li Pu Bi
1 2 1 2
direct
0.000 0.000 0.000
0.333 0.667 0.171
0.667 0.333 0.829
0.000 0.000 0.500
0.333 0.667 0.735
0.667 0.333 0.265
```

Properties
Size of the total moment in μB per cell: 5.07
Final energy in eV/atom: -4.99

***

> Look up the size of the total moment of the third one.

0.00 μB per cell